# 1
Ti2CoIr: relaxed, PBE.

```
8
Lattice="2.9657 0.0000 -0.5135 0.0001 4.1657 0.0004 0.1114 -0.0004 9.4499" Properties=species:S:1:pos:R:3 pbc="T T T"
Ti 2.9052 1.0410 7.9351
Ti 2.4563 3.1235 5.3498
Ti 0.1719 3.1243 1.0017
Ti 0.6208 1.0418 3.5870
Co 1.4215 3.1235 8.1906
Co 1.6557 1.0417 0.7462
Ir 1.0663 1.0405 6.1407
Ir 2.0109 3.1248 2.7961
```

Energy of formation from the pure elements (eV per atom): -0.606
SG: P2_1/m
DFT total energy (eV per atom): -8.55
Distance to the lowest polymorph of the same formula (kJ/mol of atoms): 1.4

# 2
Rb2Cd3In4Ge: relaxed, PBE.

```
10
Lattice="-4.3796 1.7402 -1.4928 -0.4730 -3.8352 -3.0830 -5.6947 -6.5708 9.0475" Properties=species:S:1:pos:R:3 pbc="T T T"
Ge -5.2736 -4.3329 2.2358
Rb -4.4704 -6.8029 5.1852
Rb -3.6506 -0.8154 1.5744
In -2.4263 -1.0475 -2.2879
In -2.3671 -4.3760 1.8435
In -5.7539 -3.2424 4.9162
In 0.0000 0.0000 0.0000
Cd -7.0932 -4.7877 7.0439
Cd -2.8473 -3.2854 4.5238
Cd -1.0278 -2.8307 -0.2843
```

Energy of formation from the pure elements (eV per atom): -0.060
SG: P-4m2
DFT total energy (eV per atom): -2.09

# 3
GeH2F2: relaxed, PBE.

```
5
Lattice="-3.4863 1.9764 -0.7769 0.6739 -3.6080 -1.4775 -0.7351 0.2526 3.9413" Properties=species:S:1:pos:R:3 pbc="T T T"
Ge 0.0000 0.0000 0.0000
F -2.4557 -0.2564 -0.3573
F -1.0919 -1.1226 2.0441
H -1.3684 -2.2614 0.3877
H -2.1792 0.8824 1.2992
```

SG: C2/m
DFT total energy (eV per atom): -4.04
Distance to the lowest polymorph of the same formula (kJ/mol of atoms): 0.0

# 4
Dy3SiC: relaxed, PBE.

```
10
Lattice="-4.5531 -1.8728 0.6912 -0.3342 -6.0904 -0.8244 0.1269 -4.2103 7.3066" Properties=species:S:1:pos:R:3 pbc="T T T"
Dy -0.7581 -3.8757 2.3840
Dy -4.3908 -8.6266 1.3402
Dy -3.0893 -5.4953 0.5184
Dy -4.0024 -8.2978 4.7894
Dy -0.3697 -3.5469 5.8332
Dy -1.6711 -6.6782 6.6550
C -0.7999 -4.6368 0.0470
C -3.9606 -7.5368 7.1264
Si -2.0457 -7.1615 2.8782
Si -2.7148 -5.0120 4.2952
```

Energy relative to the elements, uncorrected (eV per atom): -0.386
SG: C2/m
DFT total energy (eV per atom): -6.08

# 5
K3Hg2Pt2: relaxed, PBE.

```
28
Lattice="-3.1149 -0.4122 5.5309 -3.7166 -8.1177 -2.6981 11.2022 -7.0511 5.7835" Properties=species:S:1:pos:R:3 pbc="T T T"
Pt 8.3180 -6.9165 8.7027
Pt 4.4753 -4.4977 6.7187
Pt 1.0082 -7.1231 4.5704
Pt -3.9473 -8.6645 -0.0864
Pt -2.8346 -4.7043 2.5865
Pt -0.1046 -11.0833 1.8976
Pt 3.3626 -8.4579 4.0459
Pt 7.2053 -10.8766 6.0298
K 0.7067 -4.1732 2.5628
K -2.0754 -2.0385 5.0528
K 6.4461 -13.5424 3.5635
K 5.9919 -9.7896 9.0186
K -1.6212 -5.7914 -0.4023
K 3.6640 -11.4078 6.0535
K 1.3409 -4.1889 6.8166
K 3.0298 -11.3921 1.7997
K 6.5290 -7.2157 5.6151
K -2.1583 -8.3652 3.0012
K 1.7951 -7.9417 1.3614
K 2.5756 -7.6393 7.2548
Hg 5.6460 -9.9478 3.9945
Hg 5.7144 -6.1258 8.5216
Hg -1.2753 -5.6331 4.6218
Hg -4.6735 -6.3378 1.3253
Hg 3.4431 -5.7176 4.3992
Hg 0.9276 -9.8634 4.2171
Hg -1.3437 -9.4551 0.0947
Hg -2.1580 -2.1920 1.5075
```

Energy of formation from the pure elements (eV per atom): -0.202
SG: Pbcm
DFT total energy (eV per atom): -2.48

# 6
PaTlAu2: relaxed, PBE.

```
4
Lattice="-2.4715 2.3355 0.1101 -1.3484 -1.2929 -2.8435 -4.4850 -4.9527 4.3786" Properties=species:S:1:pos:R:3 pbc="T T T"
Au -3.4101 -3.7657 3.3292
Au -1.0749 -1.1870 1.0494
Pa -1.9100 0.5213 -1.3667
Tl -4.1524 -1.9550 0.8226
```

Energy of formation from the pure elements (eV per atom): -0.181
SG: P4/mmm
DFT total energy (eV per atom): -4.79
Distance to the lowest polymorph of the same formula (kJ/mol of atoms): 7.8

# 7
Ce2Tl5F12: relaxed, PBE.

```
19
Lattice="-4.8753 3.2396 -3.4284 -5.2114 0.1882 6.3164 -0.0189 6.5386 4.9333" Properties=species:S:1:pos:R:3 pbc="T T T"
F -5.8464 2.8758 6.4864
F -6.4901 5.7829 2.1861
F -7.4206 3.2244 2.1769
F -4.5821 3.2672 -2.2011
F -5.5235 6.6993 10.0224
F -2.6851 6.7421 5.6444
F -4.0513 2.0427 3.7164
F -6.0543 7.9238 4.1049
F -2.0697 4.4662 3.1886
F -4.2592 7.0906 1.3349
F -8.0359 5.5003 4.6327
F -3.6155 4.1836 5.6352
Tl -5.6990 5.9201 5.7861
Tl -2.4376 1.6198 -1.7142
Tl -4.4066 4.0464 2.0351
Tl -8.6827 8.2514 5.2887
Tl -1.4229 1.7151 2.5326
Ce -1.3401 4.9228 5.2852
Ce -3.8903 1.8040 5.9645
```

Energy relative to the elements, uncorrected (eV per atom): -2.796
SG: C2/m
DFT total energy (eV per atom): -5.23

# 8
AcPrNd4: relaxed, PBE.

```
12
Lattice="7.2087 -0.6055 0.0000 -3.2667 6.4545 0.0000 0.0000 0.0000 10.0661" Properties=species:S:1:pos:R:3 pbc="T T T"
Nd 0.1967 4.1204 4.2846
Nd 3.7454 1.7287 5.7816
Nd 1.9120 1.0601 2.5165
Nd 0.1967 4.1204 0.7485
Nd 0.2651 2.1701 7.5496
Nd 2.0301 4.7889 7.5496
Nd 3.6769 3.6789 2.5165
Nd 3.7454 1.7287 9.3176
Pr 0.0000 0.0000 5.0331
Pr 0.0000 0.0000 0.0000
Ac 5.2567 0.7100 2.5165
Ac -1.3147 5.1390 7.5496
```

Energy of formation from the pure elements (eV per atom): 0.222
SG: Cmcm
DFT total energy (eV per atom): -4.44
Distance to the lowest polymorph of the same formula (kJ/mol of atoms): 17.4

# 9
GaNiAsPd2: relaxed, PBE.

```
5
Lattice="-1.6101 4.3392 -0.8823 -4.0342 -1.5493 -0.2576 -0.5740 0.7264 4.6198" Properties=species:S:1:pos:R:3 pbc="T T T"
Ga -3.1091 1.7581 1.7399
Pd -0.2870 0.3632 2.3099
Pd -0.8050 2.1696 -0.4412
Ni -2.0171 -0.7747 -0.1288
As 0.0000 0.0000 0.0000
```

Energy of formation from the pure elements (eV per atom): 0.198
SG: P4/mmm
DFT total energy (eV per atom): -4.57

# 10
Ta2MnNbSi: relaxed, PBE.

```
5
Lattice="-2.7296 -3.7407 0.3041 3.2907 -2.4635 -0.7671 0.8654 -0.2614 4.5517" Properties=species:S:1:pos:R:3 pbc="T T T"
Mn 0.0000 0.0000 0.0000
Si 1.6453 -1.2318 -0.3835
Ta 0.4327 -0.1307 2.2759
Ta -1.3648 -1.8703 0.1521
Nb 0.7132 -3.2328 2.0444
```

Energy relative to the elements, uncorrected (eV per atom): 0.628
SG: P4/mmm
DFT total energy (eV per atom): -9.05

# 11
AcCePuTh: relaxed, PBE.

```
4
Lattice="-3.0932 3.3997 3.3813 1.2286 0.3769 5.5595 2.2909 4.7866 2.0976" Properties=species:S:1:pos:R:3 pbc="T T T"
Ce 0.2131 4.2816 5.5192
Pu 0.3197 6.4224 8.2788
Th 0.0000 0.0000 0.0000
Ac 0.1066 2.1408 2.7596
```

Energy of formation from the pure elements (eV per atom): 0.311
SG: F-43m
DFT total energy (eV per atom): -7.64

# 12
Dy8P6S: relaxed, PBE.

```
15
Lattice="4.1575 0.0000 0.0000 0.0000 8.7821 -5.0704 0.0000 0.0000 10.1407" Properties=species:S:1:pos:R:3 pbc="T T T"
P 3.1548 5.7843 -1.9745
P 1.0027 2.9978 7.0449
P 1.0027 1.1822 4.1441
P 1.0027 4.6021 4.0221
P 3.1548 7.6000 0.9262
P 3.1548 4.1800 1.0483
S 2.0788 0.0000 0.0000
Dy 1.0869 2.7087 1.8949
Dy 3.0707 2.9953 -1.3983
Dy 1.0587 5.8548 0.0000
Dy 3.0707 8.4955 -1.7772
Dy 1.0869 0.2867 6.8475
Dy 3.0989 2.9274 5.0704
Dy 1.0869 5.7868 6.4687
Dy 3.0707 6.0735 3.1755
```

Energy relative to the elements, uncorrected (eV per atom): -1.239
SG: P-3
DFT total energy (eV per atom): -6.13

# 13
KPS2I: relaxed, PBE.

```
5
Lattice="-2.6943 5.0705 -2.0829 1.5604 -1.5155 -5.7076 -5.5203 -3.2037 -0.6585" Properties=species:S:1:pos:R:3 pbc="T T T"
S 0.7802 -0.7578 -2.8538
S -1.3471 2.5353 -1.0415
P -2.7601 -1.6019 -0.3292
I -3.3271 0.1756 -4.2245
K 0.0000 0.0000 0.0000
```

Energy relative to the elements, uncorrected (eV per atom): 1.284
SG: P4/mmm
DFT total energy (eV per atom): -1.98
Distance to the lowest polymorph of the same formula (kJ/mol of atoms): 78.5

# 14
Sm2Y9Th: relaxed, PBE.

```
12
Lattice="5.0671 0.0000 0.0000 0.0000 5.0671 0.0000 0.0000 0.0000 15.2101" Properties=species:S:1:pos:R:3 pbc="T T T"
Th 0.0000 0.0000 0.0000
Sm 0.0000 0.0000 10.1505
Sm 0.0000 0.0000 5.0596
Y 0.0000 2.5335 7.6050
Y 2.5335 2.5335 0.0000
Y 2.5335 0.0000 2.4918
Y 2.5335 2.5335 5.0756
Y 2.5335 2.5335 10.1345
Y 2.5335 0.0000 12.7183
Y 0.0000 2.5335 12.7183
Y 0.0000 2.5335 2.4918
Y 2.5335 0.0000 7.6050
```

Energy of formation from the pure elements (eV per atom): 0.029
SG: P4/mmm
DFT total energy (eV per atom): -6.22

# 15
LiCr4Se: relaxed, PBE.

```
6
Lattice="-2.0812 -1.4278 4.0981 -4.7369 0.5811 0.6230 -2.9134 -3.8309 0.0119" Properties=species:S:1:pos:R:3 pbc="T T T"
Li -7.2987 -3.5082 3.5497
Cr -4.6932 -2.4656 3.7974
Cr -5.1017 -3.6453 1.7915
Cr -3.6715 -1.7647 1.7856
Cr -5.9969 -1.4795 2.0915
Se 0.0000 0.0000 0.0000
```

Energy relative to the elements, uncorrected (eV per atom): 0.546
SG: F-43m
DFT total energy (eV per atom): -6.77

# 16
LiNbIrRh: relaxed, PBE.

```
4
Lattice="4.3585 0.0000 0.0000 2.1792 3.7745 0.0000 2.1792 1.2582 3.5587" Properties=species:S:1:pos:R:3 pbc="T T T"
Rh 2.1792 1.2582 0.8897
Nb 4.3585 2.5164 1.7793
Li 0.0000 0.0000 0.0000
Ir 6.5377 3.7745 2.6690
```

Energy of formation from the pure elements (eV per atom): -0.474
SG: F-43m
DFT total energy (eV per atom): -7.52

# 17
RbAl3Pt: relaxed, PBE.

```
5
Lattice="5.5977 0.0000 0.0000 0.0000 5.5977 0.0000 0.0000 0.0000 5.5977" Properties=species:S:1:pos:R:3 pbc="T T T"
Al 2.7988 0.0000 0.0000
Al 0.0000 0.0000 2.7988
Al 0.0000 2.7988 0.0000
Rb 0.0000 0.0000 0.0000
Pt 2.7988 2.7988 2.7988
```

Energy of formation from the pure elements (eV per atom): 2.085
SG: Pm-3m
DFT total energy (eV per atom): -1.56
Distance to the lowest polymorph of the same formula (kJ/mol of atoms): 213.8

# 18
Zn2CuCl: relaxed, PBE.

```
4
Lattice="4.8685 0.0000 0.0000 0.0000 4.8685 0.0000 0.0000 0.0000 2.8370" Properties=species:S:1:pos:R:3 pbc="T T T"
Cu 0.0000 2.4343 1.4185
Cl 2.4343 0.0000 1.4185
Zn 0.0000 0.0000 0.0000
Zn 2.4343 2.4343 0.0000
```

Energy relative to the elements, uncorrected (eV per atom): 0.129
SG: P4/mmm
DFT total energy (eV per atom): -1.99
Distance to the lowest polymorph of the same formula (kJ/mol of atoms): 22.4